1.
A relaxed structure of FeCu2Te. Source: Alexandria, functional PBEsol.

size of the total moment = 1.272 μB/f.u.
uncorrected formation energy = 0.27 eV/atom

Geometry as CIF:
```
data_FeCu2Te
_space_group_name_H-M_alt 'P 4 m m'
_space_group_IT_number 99
_space_group_name_Hall 'P 4 -2'
_cell_length_a 3.2323
_cell_length_b 3.2323
_cell_length_c 5.3672
_cell_angle_alpha 90.00
_cell_angle_beta 90.00
_cell_angle_gamma 90.00
loop_
_atom_site_label
_atom_site_type_symbol
_atom_site_fract_x
_atom_site_fract_y
_atom_site_fract_z
Fe1 Fe 0.0000 0.0000 0.0000
Cu1 Cu 0.0000 0.0000 0.5394
Cu2 Cu 0.5000 0.5000 0.7305
Te1 Te 0.5000 0.5000 0.2192
```


2.
A relaxed structure of ZrInSi2. Source: Alexandria, functional PBEsol.

size of the total moment = 0.000 μB/f.u.
uncorrected formation energy = -0.22 eV/atom

Geometry as CIF:
```
data_ZrInSi2
_space_group_name_H-M_alt 'I -4 m 2'
_space_group_IT_number 119
_space_group_name_Hall 'I -4 -2'
_cell_length_a 3.8791
_cell_length_b 3.8791
_cell_length_c 9.4504
_cell_angle_alpha 90.00
_cell_angle_beta 90.00
_cell_angle_gamma 90.00
loop_
_atom_site_label
_atom_site_type_symbol
_atom_site_fract_x
_atom_site_fract_y
_atom_site_fract_z
Zr1 Zr 0.0000 0.0000 0.0000
In1 In 0.0000 0.5000 0.2500
Si1 Si 0.0000 0.0000 0.5000
Si2 Si 0.0000 0.5000 0.7500
```


3.
A relaxed structure of LiAg3. Source: Alexandria, functional PBEsol.

size of the total moment = 0.000 μB/f.u.
ΔE_f = -0.1073 eV per atom

Geometry as CIF:
```
data_LiAg3
_space_group_name_H-M_alt 'I m m 2'
_space_group_IT_number 44
_space_group_name_Hall 'I 2 -2'
_cell_length_a 2.8352
_cell_length_b 9.3149
_cell_length_c 4.8999
_cell_angle_alpha 90.00
_cell_angle_beta 90.00
_cell_angle_gamma 90.00
loop_
_atom_site_label
_atom_site_type_symbol
_atom_site_fract_x
_atom_site_fract_y
_atom_site_fract_z
Li1 Li 0.0000 0.0000 0.0000
Ag1 Ag 0.0000 0.2477 0.6678
Ag2 Ag 0.0000 0.5000 0.9930
```


Which formula does entry 2 have?
ZrInSi2